4
Lattice="5.171 -0.036 -0.024 4.300 2.872 -0.024 1.677 0.502 3.748" Properties=species:S:1:pos:R:3 comment="GGA-PBE Cu2TcSe, optimized geometry" n_ef_per_ev_cell=3.01 e_form_raw_mev_per_atom=347.2 magnetic_moment_mub_per_cell=0.669 dft_energy_ev_per_cell=-20.65 vol_a3_per_atom=14.09 space_group="Immm, No. 71" pbc="T T T"
Cu 5.474 1.639 1.899
Cu 1.777 0.532 3.699
Se 8.360 2.504 2.775
Tc 2.787 0.835 0.925